a) This record from Alexandria describes SiAgTe2 after structural relaxation. The functional is PBE.

symmetry = C2/m, No. 12
calculated volume = 98 Å³ per cell

Cell lengths 4.0357, 4.0357, 7.3027 Å; angles 73.87, 73.87, 60.19 degrees
Element x y z (fractional)
Si 0.7500 0.7500 0.7500
Te 0.0057 0.0057 0.9813
Te 0.4943 0.4943 0.5187
Ag 0.2500 0.2500 0.2500


b) This record from Alexandria describes SiAgTe2 after structural relaxation. The functional is PBE.

symmetry = R3m, No. 160
calculated volume = 109 Å³ per cell

Cell lengths 9.5650, 9.5650, 9.5650 Å; angles 22.17, 22.17, 22.17 degrees
Element x y z (fractional)
Ag 0.4866 0.4866 0.4866
Si 0.7568 0.7568 0.7568
Te 0.0324 0.0324 0.0324
Te 0.2242 0.2242 0.2242


Stability summary - winner: a); margin: 146 meV/atom.